Record 1
This record from Alexandria via LeMat-Bulk describes a geometry-optimized TaTc3I structure. The functional is GGA-PBE.

Lattice parameters (Å, degrees): 4.712 4.712 4.712 90.00 90.00 90.00
Fractional positions:
I (0.000, 0.000, 0.000)
Tc (0.000, 0.500, 0.000)
Tc (0.000, 0.000, 0.500)
Tc (0.500, 0.000, 0.000)
Ta (0.500, 0.500, 0.500)

E above lowest polymorph   115.1 kJ/mol of formula units
Calculated total energy   -34.0 eV/f.u.
DOS(E_F)   4.78 states/eV/f.u.
ΔE_f (raw)   2.109 eV/atom

Record 2
This record from Alexandria via LeMat-Bulk describes a geometry-optimized AcGd2Cu structure. The functional is GGA-PBE.

Lattice parameters (Å, degrees): 3.837 3.837 10.174 79.13 79.13 60.00
Each line ends with the local moment (μB).
Fractional positions:
Ac (0.500, 0.500, 0.500)  -0.01
Gd (0.729, 0.729, 0.814)  7.19
Gd (0.271, 0.271, 0.186)  7.19
Cu (0.000, 0.000, 0.000)  0.07

E above lowest polymorph   35.8 kJ/mol of formula units
Formation enthalpy at 0 K   0.034 eV/atom
Calculated total energy   -36.2 eV/f.u.
DOS(E_F)   4.64 states/eV/f.u.

Record 3
This record from Alexandria via LeMat-Bulk describes a geometry-optimized Nb2CoC2 structure. The functional is GGA-PBE.

Lattice parameters (Å, degrees): 5.989 5.989 3.063 90.00 90.00 90.00
Each line ends with the local moment (μB).
Fractional positions:
Nb (0.160, 0.660, 0.500)  0.04
Nb (0.660, 0.840, 0.500)  0.04
Nb (0.840, 0.340, 0.500)  0.04
Nb (0.340, 0.160, 0.500)  0.04
Co (0.000, 0.000, 0.000)  1.07
Co (0.500, 0.500, 0.000)  1.07
C (0.344, 0.844, 0.000)  0.02
C (0.844, 0.656, 0.000)  0.02
C (0.656, 0.156, 0.000)  0.02
C (0.156, 0.344, 0.000)  0.02

E above lowest polymorph   0.0 kJ/mol of formula units
Formation enthalpy at 0 K   -0.044 eV/atom
Calculated total energy   -45.9 eV/f.u.
DOS(E_F)   5.58 states/eV/f.u.

Record 4
This record from Alexandria via LeMat-Bulk describes a geometry-optimized AcTl2Pb structure. The functional is GGA-PBE.

Lattice parameters (Å, degrees): 5.240 4.932 4.932 90.00 90.00 90.00
Fractional positions:
Pb (0.500, 0.000, 0.000)
Ac (0.500, 0.500, 0.500)
Tl (0.000, 0.000, 0.500)
Tl (0.000, 0.500, 0.000)

E above lowest polymorph   0.0 kJ/mol of formula units
Formation enthalpy at 0 K   -0.348 eV/atom
Calculated total energy   -13.9 eV/f.u.
DOS(E_F)   2.18 states/eV/f.u.

Record 5
This record from Alexandria via LeMat-Bulk describes a geometry-optimized PrDyPu2Sb4 structure. The functional is GGA-PBE.

Lattice parameters (Å, degrees): 4.459 7.717 7.684 109.46 90.00 90.00
Each line ends with the local moment (μB).
Fractional positions:
Pr (0.000, 0.000, 0.000)  -0.02
Dy (0.500, 0.500, 0.000)  0.04
Pu (0.500, 0.000, 0.500)  -5.24
Pu (0.000, 0.500, 0.500)  5.19
Sb (0.500, 0.258, 0.256)  -0.03
Sb (0.500, 0.742, 0.744)  -0.03
Sb (0.000, 0.254, 0.748)  0.03
Sb (0.000, 0.746, 0.252)  0.03

Calculated total energy   -61.4 eV/f.u.
DOS(E_F)   32.75 states/eV/f.u.
ΔE_f (raw)   -0.854 eV/atom

Record 6
This record from Alexandria via LeMat-Bulk describes a geometry-optimized Ac2DyAuSe5 structure. The functional is GGA-PBE.

Lattice parameters (Å, degrees): 4.269 9.315 12.740 90.00 90.00 103.25
Fractional positions:
Ac (0.877, 0.754, 0.814)
Ac (0.116, 0.233, 0.689)
Ac (0.123, 0.246, 0.314)
Ac (0.884, 0.767, 0.189)
Dy (0.811, 0.621, 0.510)
Dy (0.189, 0.379, 0.010)
Au (0.557, 0.113, 0.953)
Au (0.443, 0.887, 0.453)
Se (0.351, 0.702, 0.004)
Se (0.697, 0.395, 0.852)
Se (0.499, 0.999, 0.768)
Se (0.293, 0.586, 0.666)
Se (0.958, 0.916, 0.568)
Se (0.649, 0.298, 0.504)
Se (0.303, 0.605, 0.352)
Se (0.501, 0.001, 0.268)
Se (0.707, 0.414, 0.166)
Se (0.042, 0.084, 0.068)

Calculated total energy   -48.4 eV/f.u.
DOS(E_F)   0.19 states/eV/f.u.
ΔE_f (raw)   -1.652 eV/atom

Record 7
This record from Alexandria via LeMat-Bulk describes a geometry-optimized Ca2LaMo structure. The functional is GGA-PBE.

Lattice parameters (Å, degrees): 3.236 3.236 11.089 90.00 90.00 95.24
Fractional positions:
Mo (0.500, 0.500, 0.750)
Ca (0.000, 0.000, 0.952)
Ca (0.000, 0.000, 0.548)
La (0.500, 0.500, 0.250)

E above lowest polymorph   77.3 kJ/mol of formula units
Formation enthalpy at 0 K   0.653 eV/atom
Calculated total energy   -17.1 eV/f.u.
DOS(E_F)   6.01 states/eV/f.u.

Record 8
This record from Alexandria via LeMat-Bulk describes a geometry-optimized LiTeRh2 structure. The functional is GGA-PBE.

Lattice parameters (Å, degrees): 8.602 8.602 8.602 20.78 20.78 20.78
Each line ends with the local moment (μB).
Fractional positions:
Li (0.743, 0.743, 0.743)  -0.01
Rh (0.999, 0.999, 0.999)  0.50
Rh (0.251, 0.251, 0.251)  0.19
Te (0.507, 0.507, 0.507)  0.00

Calculated total energy   -19.2 eV/f.u.
DOS(E_F)   4.49 states/eV/f.u.
ΔE_f (raw)   0.145 eV/atom

Record 9
This record from Alexandria via LeMat-Bulk describes a geometry-optimized AlTl5 structure. The functional is GGA-PBE.

Lattice parameters (Å, degrees): 3.596 5.454 9.247 107.15 90.00 90.00
Fractional positions:
Tl (0.000, 0.686, 0.372)
Tl (0.000, 0.314, 0.628)
Tl (0.500, 0.500, 0.000)
Tl (0.500, 0.138, 0.277)
Tl (0.500, 0.862, 0.723)
Al (0.000, 0.000, 0.000)

E above lowest polymorph   0.0 kJ/mol of formula units
Formation enthalpy at 0 K   0.109 eV/atom
Calculated total energy   -14.9 eV/f.u.
DOS(E_F)   1.60 states/eV/f.u.

Record 10
This record from Alexandria via LeMat-Bulk describes a geometry-optimized Mg2Si3 structure. The functional is GGA-PBE.

Lattice parameters (Å, degrees): 5.311 5.311 9.156 68.63 68.63 48.80
Fractional positions:
Mg (0.319, 0.319, 0.596)
Mg (0.681, 0.681, 0.404)
Mg (0.510, 0.510, 0.817)
Mg (0.490, 0.490, 0.183)
Si (0.140, 0.140, 0.942)
Si (0.210, 0.210, 0.162)
Si (0.790, 0.790, 0.838)
Si (0.860, 0.860, 0.058)
Si (0.031, 0.031, 0.614)
Si (0.969, 0.969, 0.386)

E above lowest polymorph   12.5 kJ/mol of formula units
Calculated total energy   -19.2 eV/f.u.
DOS(E_F)   1.45 states/eV/f.u.
ΔE_f (raw)   0.055 eV/atom

Record 11
This record from Alexandria via LeMat-Bulk describes a geometry-optimized ErCu5Hg structure. The functional is GGA-PBE.

Lattice parameters (Å, degrees): 5.006 8.253 10.498 90.00 90.00 90.00
Fractional positions:
Er (0.250, 0.247, 0.933)
Er (0.750, 0.253, 0.433)
Er (0.250, 0.747, 0.567)
Er (0.750, 0.753, 0.067)
Cu (0.250, 0.583, 0.016)
Cu (0.750, 0.917, 0.516)
Cu (0.250, 0.083, 0.484)
Cu (0.750, 0.417, 0.984)
Cu (0.750, 0.313, 0.760)
Cu (0.250, 0.187, 0.260)
Cu (0.750, 0.813, 0.740)
Cu (0.250, 0.687, 0.240)
Cu (0.250, 0.947, 0.108)
Cu (0.750, 0.553, 0.608)
Cu (0.250, 0.447, 0.392)
Cu (0.750, 0.053, 0.892)
Cu (0.999, 0.431, 0.186)
Cu (0.001, 0.069, 0.686)
Cu (0.501, 0.931, 0.314)
Cu (0.499, 0.569, 0.814)
Cu (0.001, 0.569, 0.814)
Cu (0.999, 0.931, 0.314)
Cu (0.499, 0.069, 0.686)
Cu (0.501, 0.431, 0.186)
Hg (0.250, 0.866, 0.865)
Hg (0.750, 0.634, 0.365)
Hg (0.250, 0.366, 0.635)
Hg (0.750, 0.134, 0.135)

Formation enthalpy at 0 K   -0.166 eV/atom
Calculated total energy   -26.5 eV/f.u.
DOS(E_F)   3.54 states/eV/f.u.

Record 12
This record from Alexandria via LeMat-Bulk describes a geometry-optimized Ca2Rh3Pb4 structure. The functional is GGA-PBE.

Lattice parameters (Å, degrees): 5.907 5.907 7.714 100.90 100.90 120.41
Fractional positions:
Ca (0.612, 0.612, 0.224)
Ca (0.388, 0.388, 0.776)
Rh (0.500, 0.000, 0.000)
Rh (0.000, 0.000, 0.000)
Rh (0.000, 0.500, 0.000)
Pb (0.010, 0.681, 0.691)
Pb (0.681, 0.010, 0.691)
Pb (0.990, 0.319, 0.309)
Pb (0.319, 0.990, 0.309)

Formation enthalpy at 0 K   -0.328 eV/atom
Calculated total energy   -43.8 eV/f.u.
DOS(E_F)   4.90 states/eV/f.u.

Repeat the sixth record exactly.
This record from Alexandria via LeMat-Bulk describes a geometry-optimized Ac2DyAuSe5 structure. The functional is GGA-PBE.

Lattice parameters (Å, degrees): 4.269 9.315 12.740 90.00 90.00 103.25
Fractional positions:
Ac (0.877, 0.754, 0.814)
Ac (0.116, 0.233, 0.689)
Ac (0.123, 0.246, 0.314)
Ac (0.884, 0.767, 0.189)
Dy (0.811, 0.621, 0.510)
Dy (0.189, 0.379, 0.010)
Au (0.557, 0.113, 0.953)
Au (0.443, 0.887, 0.453)
Se (0.351, 0.702, 0.004)
Se (0.697, 0.395, 0.852)
Se (0.499, 0.999, 0.768)
Se (0.293, 0.586, 0.666)
Se (0.958, 0.916, 0.568)
Se (0.649, 0.298, 0.504)
Se (0.303, 0.605, 0.352)
Se (0.501, 0.001, 0.268)
Se (0.707, 0.414, 0.166)
Se (0.042, 0.084, 0.068)

Calculated total energy   -48.4 eV/f.u.
DOS(E_F)   0.19 states/eV/f.u.
ΔE_f (raw)   -1.652 eV/atom